Record 1
## SrCuSe2 (PBE)

Data for SrCuSe2 after structural relaxation.

Cell lengths 6.3447, 6.3447, 4.6835 Å; angles 102.65, 102.65, 37.72 degrees
Last column: nearest neighbours and their distance in Å.
Fractional coordinates of all 4 atoms:
1 Sr 0.0000 0.0000 0.0000  7 Se 3.12-3.37, 1 Cu 3.40
2 Cu 0.2913 0.2913 0.1922  3 Se 2.33
3 Se 0.4761 0.4761 0.4882  1 Cu 2.33
4 Se 0.7217 0.7217 0.9895  2 Cu 2.33

Summary:
**ΔE_f (raw)**: -91.0 kJ/mol of atoms
**Space-group type**: No. 8
**Crystal system**: monoclinic
**Fermi-level density of states**: 1.9 states/eV per cell
**Magnetization**: 0.000 μB/atom

---

Record 2
## BaO (PBE)

Data for BaO after structural relaxation.

Cell lengths 4.2900, 13.3364, 6.2429 Å; angles 90.00, 90.00, 90.00 degrees
Last column: nearest neighbours and their distance in Å.
Fractional coordinates of all 12 atoms:
1 Ba 0.2500 0.0982 0.1369  4 O 2.58-2.65
2 Ba 0.2500 0.4018 0.1369  4 O 2.58-2.65
3 Ba 0.2500 0.7500 0.3562  4 O 2.59-2.61
4 Ba 0.7500 0.2500 0.6438  4 O 2.59-2.61
5 Ba 0.7500 0.5982 0.8631  4 O 2.58-2.65
6 Ba 0.7500 0.9018 0.8631  4 O 2.58-2.65
7 O 0.2500 0.2500 0.4118  4 Ba 2.59-2.65
8 O 0.2500 0.5987 0.0919  4 Ba 2.58-2.64
9 O 0.2500 0.9013 0.0919  4 Ba 2.58-2.64
10 O 0.7500 0.0987 0.9081  4 Ba 2.58-2.64
11 O 0.7500 0.4013 0.9081  4 Ba 2.58-2.64
12 O 0.7500 0.7500 0.5882  4 Ba 2.59-2.65

Summary:
**ΔE_f (raw)**: -227.9 kJ/mol of atoms
**Space-group type**: No. 59
**Crystal system**: orthorhombic
**Fermi-level density of states**: 0.0 states/eV per cell
**Magnetization**: 0.000 μB/atom

---

Record 3
## Sc2NbTl (PBE)

Data for Sc2NbTl after structural relaxation.

Cell lengths 3.4270, 3.4270, 7.4709 Å; angles 90.00, 90.00, 90.00 degrees
Last column: nearest neighbours and their distance in Å.
Fractional coordinates of all 4 atoms:
1 Sc 0.0000 0.0000 0.2336  4 Nb 2.99, 4 Tl 3.14
2 Sc 0.0000 0.0000 0.7664  4 Nb 2.99, 4 Tl 3.14
3 Nb 0.5000 0.5000 0.0000  8 Sc 2.99
4 Tl 0.5000 0.5000 0.5000  8 Sc 3.14, 4 Tl 3.43

Summary:
**Space-group type**: No. 123
**Crystal system**: tetragonal
**Fermi-level density of states**: 6.6 states/eV per cell
**Magnetization**: 0.095 μB/atom
**Energy relative to the elements**: -3.4 kJ/mol of atoms

---

Record 4
## PuPa2Os (PBE)

Data for PuPa2Os after structural relaxation.

Cell lengths 4.9417, 4.9417, 4.9417 Å; angles 60.00, 60.00, 60.00 degrees
Last column: nearest neighbours and their distance in Å.
Fractional coordinates of all 4 atoms:
1 Pu 0.0000 0.0000 0.0000  8 Pa 3.03
2 Pa 0.2500 0.2500 0.2500  4 Os 3.03, 4 Pu 3.03
3 Pa 0.7500 0.7500 0.7500  4 Pu 3.03, 4 Os 3.03
4 Os 0.5000 0.5000 0.5000  8 Pa 3.03

Summary:
**Space-group type**: No. 225
**Crystal system**: cubic
**Fermi-level density of states**: 10.0 states/eV per cell
**Magnetization**: 1.589 μB/atom
**Energy relative to the elements**: -7.5 kJ/mol of atoms

---

Record 5
## LiAg3Sn (PBE)

Data for LiAg3Sn after structural relaxation.

Cell lengths 4.6387, 4.6387, 4.6387 Å; angles 90.00, 90.00, 90.00 degrees
Last column: nearest neighbours and their distance in Å.
Fractional coordinates of all 5 atoms:
1 Li 0.0000 0.0000 0.0000  6 Ag 2.32
2 Ag 0.0000 0.0000 0.5000  2 Li 2.32
3 Ag 0.0000 0.5000 0.0000  2 Li 2.32
4 Ag 0.5000 0.0000 0.0000  2 Li 2.32
5 Sn 0.5000 0.5000 0.5000  12 Ag 3.28

Summary:
**Space-group type**: No. 221
**Crystal system**: cubic
**Fermi-level density of states**: 1.3 states/eV per cell
**Magnetization**: 0.000 μB/atom
**Energy relative to the elements**: 26.9 kJ/mol of atoms

---

Record 6
## Nd2SmDy5Th (PBE)

Data for Nd2SmDy5Th after structural relaxation.

Cell lengths 11.1381, 11.1381, 9.8751 Å; angles 90.00, 90.00, 150.09 degrees
Last column: nearest neighbours and their distance in Å.
Fractional coordinates of all 18 atoms:
1 Nd 0.1155 0.8845 0.5000  8 Dy 3.36-3.56, 1 Sm 3.49
2 Nd 0.1288 0.8712 0.8826  1 Sm 3.30, 3 Dy 3.39-3.64, 2 Th 3.64
3 Nd 0.8712 0.1288 0.3826  1 Sm 3.30, 3 Dy 3.39-3.64, 2 Th 3.64
4 Nd 0.8845 0.1155 0.0000  8 Dy 3.36-3.56, 1 Sm 3.49
5 Sm 0.1915 0.8085 0.1876  2 Nd 3.30-3.49, 5 Dy 3.47-3.53, 2 Th 3.68
6 Sm 0.8085 0.1915 0.6876  2 Nd 3.30-3.49, 5 Dy 3.47-3.53, 2 Th 3.68
7 Dy 0.0147 0.9853 0.1877  2 Nd 3.36-3.64, 2 Th 3.46, 2 Dy 3.64
8 Dy 0.2721 0.7279 0.4962  1 Th 3.06, 1 Nd 3.37
9 Dy 0.3057 0.6943 0.8846  3 Sm 3.47-3.87, 4 Dy 3.50-3.80, 3 Nd 3.53-3.81, 1 Th 3.59
10 Dy 0.3989 0.6011 0.2108  2 Dy 3.33-3.45, 4 Nd 3.39-3.56
11 Dy 0.4696 0.5304 0.9107  2 Th 3.23-3.39, 3 Dy 3.33-3.54, 2 Nd 3.52
12 Dy 0.5304 0.4696 0.4107  2 Th 3.23-3.39, 3 Dy 3.33-3.54, 2 Nd 3.52
13 Dy 0.6011 0.3989 0.7108  2 Dy 3.33-3.45, 4 Nd 3.39-3.56
14 Dy 0.6943 0.3057 0.3846  3 Sm 3.47-3.87, 4 Dy 3.50-3.80, 3 Nd 3.53-3.81, 1 Th 3.59
15 Dy 0.7279 0.2721 0.9962  1 Th 3.06, 1 Nd 3.37
16 Dy 0.9853 0.0147 0.6877  2 Nd 3.36-3.64, 2 Th 3.46, 2 Dy 3.64
17 Th 0.4069 0.5931 0.5957  3 Dy 3.06-3.39
18 Th 0.5931 0.4069 0.0957  3 Dy 3.06-3.39

Summary:
**Space-group type**: No. 36
**Crystal system**: orthorhombic
**Fermi-level density of states**: 25.5 states/eV per cell
**Magnetization**: 0.000 μB/atom
**Energy relative to the elements**: 15.6 kJ/mol of atoms

---

Record 7
## CaVGaOs2 (PBE)

Data for CaVGaOs2 after structural relaxation.

Cell lengths 4.5842, 4.5842, 4.7926 Å; angles 90.00, 90.00, 90.00 degrees
Last column: nearest neighbours and their distance in Å.
Fractional coordinates of all 5 atoms:
1 Ca 0.0000 0.0000 0.0000  2 Ga 2.40
2 V 0.5000 0.5000 0.0000  4 Ca 3.24, 8 Os 3.32
3 Ga 0.0000 0.0000 0.5000  4 Os 2.29, 2 Ca 2.40
4 Os 0.0000 0.5000 0.5000  2 Ga 2.29
5 Os 0.5000 0.0000 0.5000  2 Ga 2.29

Summary:
**Space-group type**: No. 123
**Crystal system**: tetragonal
**Fermi-level density of states**: 12.5 states/eV per cell
**Magnetization**: 0.000 μB/atom
**Energy relative to the elements**: 148.9 kJ/mol of atoms

---

Record 8
## Rb12HgO7 (PBE)

Data for Rb12HgO7 after structural relaxation.

Cell lengths 9.1722, 9.1722, 9.1722 Å; angles 107.10, 107.10, 107.10 degrees
Last column: nearest neighbours and their distance in Å.
Fractional coordinates of all 20 atoms:
1 Rb 0.0673 0.6929 0.1878  3 O 2.69-2.84
2 Rb 0.1645 0.3522 0.4338  3 O 2.68-2.79
3 Rb 0.1878 0.0673 0.6929  3 O 2.69-2.84
4 Rb 0.3071 0.8122 0.9327  3 O 2.69-2.84
5 Rb 0.3522 0.4338 0.1645  3 O 2.68-2.79
6 Rb 0.4338 0.1645 0.3522  3 O 2.68-2.79
7 Rb 0.5662 0.8355 0.6478  3 O 2.68-2.79
8 Rb 0.6478 0.5662 0.8355  3 O 2.68-2.79
9 Rb 0.6929 0.1878 0.0673  3 O 2.69-2.84
10 Rb 0.8122 0.9327 0.3071  3 O 2.69-2.84
11 Rb 0.8355 0.6478 0.5662  3 O 2.68-2.79
12 Rb 0.9327 0.3071 0.8122  3 O 2.69-2.84
13 Hg 0.0000 0.0000 0.0000  6 O 3.07
14 O 0.0242 0.3587 0.1357  5 Rb 2.68-2.84
15 O 0.1357 0.0242 0.3587  5 Rb 2.68-2.84
16 O 0.3587 0.1357 0.0242  5 Rb 2.68-2.84
17 O 0.5000 0.5000 0.5000  6 Rb 2.76
18 O 0.6413 0.8643 0.9758  5 Rb 2.68-2.84
19 O 0.8643 0.9758 0.6413  5 Rb 2.68-2.84
20 O 0.9758 0.6413 0.8643  5 Rb 2.68-2.84

Summary:
**ΔE_f (raw)**: -76.7 kJ/mol of atoms
**Space-group type**: No. 148
**Crystal system**: trigonal
**Fermi-level density of states**: 15.8 states/eV per cell
**Magnetization**: 0.022 μB/atom